Entry 1:
This record from the Alexandria database describes an optimized crystal structure of Sr6SiSn2. The functional is PBE.

Computed properties:
The calculated total energy comes out at -28.10 eV for the cell shown. Its symmetry is P-62m, No. 189. Its mass density is 3.95 g/cm³.

Cell lengths 4.9941, 8.7687, 8.7706 Å; angles 119.99, 90.00, 90.00 degrees
Fractional positions:
Sr (0.0000, 0.0000, 0.2478)
Sr (0.5000, 0.0002, 0.5871)
Sn (0.0000, 0.3334, 0.6668)
Sr (0.0000, 0.7522, 0.7522)
Sn (0.0000, 0.6666, 0.3332)
Sr (0.5000, 0.4130, 0.4129)
Sr (0.0000, 0.2477, 0.0000)
Sr (0.5000, 0.5872, 0.0000)
Si (0.5000, 0.9998, 0.0000)

=====

Entry 2:
This record from the Alexandria database describes an optimized crystal structure of SrSiSn. The functional is PBE.

Computed properties:
The calculated total energy comes out at -12.26 eV for the cell shown. Its symmetry is P3m1, No. 156. Its mass density is 4.49 g/cm³.

Cell lengths 4.3010, 4.3010, 5.4068 Å; angles 90.00, 90.00, 120.00 degrees
Fractional positions:
Si (0.0000, 0.0000, 0.3058)
Sn (0.6667, 0.3333, 0.5070)
Sr (0.3333, 0.6667, 0.9502)